Entry 1:
A relaxed structure of IrPbW2, computed with PBE.

Cell: 2.894 2.894 8.406 Å, 90.00 90.00 90.00°
Sites, in units of the cell vectors:
1 Pb 0.500 0.500 0.750
2 Ir 0.500 0.500 0.250
3 W 0.000 0.000 0.025
4 W 0.000 0.000 0.475

Output
Energy relative to the elements ... 0.67 eV per atom
SG ... P4/mmm, No. 123

---

Entry 2:
A relaxed structure of Ba2TlPb2, computed with PBE.

Cell: 4.451 4.451 10.933 Å, 78.26 78.26 90.00°
Sites, in units of the cell vectors:
1 Tl 0.000 0.000 0.000
2 Pb 0.750 0.250 0.500
3 Ba 0.601 0.601 0.797
4 Pb 0.250 0.750 0.500
5 Ba 0.399 0.399 0.203

Output
Energy relative to the elements ... -0.23 eV per atom
SG ... I4/mmm, No. 139
E above lowest polymorph ... 5.56 kcal/mol of atoms

---

Entry 3:
A relaxed structure of K2TeSe, computed with PBE.

Cell: 5.568 6.023 10.606 Å, 115.92 90.00 90.00°
Sites, in units of the cell vectors:
1 K 0.750 0.201 0.914
2 Se 0.750 0.584 0.773
3 Te 0.750 0.578 0.267
4 K 0.750 0.227 0.444
5 K 0.250 0.799 0.086
6 K 0.250 0.773 0.556
7 Te 0.250 0.422 0.733
8 Se 0.250 0.416 0.227

Output
SG ... P2_1/m, No. 11
Formation energy from raw total energies ... -3.28 eV/f.u.
E above lowest polymorph ... 0.38 kcal/mol of atoms

---

Entry 4:
A relaxed structure of AgAsI2N, computed with PBE.

Cell: 6.013 6.013 3.675 Å, 90.00 90.00 90.00°
Sites, in units of the cell vectors:
1 I 0.500 0.000 0.000
2 N 0.000 0.000 0.500
3 I 0.000 0.500 0.000
4 Ag 0.500 0.500 0.500
5 As 0.000 0.000 0.000

Output
SG ... P4/mmm, No. 123
Formation energy from raw total energies ... 3.34 eV/f.u.
E above lowest polymorph ... 0.00 kcal/mol of atoms

---

Entry 5:
A relaxed structure of P3Pb, computed with PBE.

Cell: 5.341 5.341 5.341 Å, 90.00 90.00 90.00°
Sites, in units of the cell vectors:
1 P 0.000 0.500 0.000
2 Pb 0.000 0.000 0.000
3 P 0.000 0.000 0.500
4 P 0.500 0.000 0.000

Output
Energy relative to the elements ... 1.84 eV per atom
SG ... Pm-3m, No. 221

---

Entry 6:
A relaxed structure of Na2CuBS, computed with PBE.

Cell: 5.042 3.837 5.042 Å, 90.00 90.00 90.00°
Sites, in units of the cell vectors:
1 S 0.500 0.500 0.500
2 B 0.000 0.000 0.000
3 Cu 0.000 0.500 0.000
4 Na 0.000 0.000 0.500
5 Na 0.500 0.000 0.000

Output
SG ... P4/mmm, No. 123
Formation energy from raw total energies ... 1.73 eV/f.u.

---

Entry 7:
A relaxed structure of LiZnCu2Pt, computed with PBE.

Cell: 4.666 4.669 6.973 Å, 109.56 90.00 90.00°
Sites, in units of the cell vectors:
1 Li 0.250 0.651 0.302
2 Cu 0.500 0.750 0.000
3 Pt 0.250 0.249 0.498
4 Cu 0.000 0.750 0.000
5 Cu 0.000 0.250 0.000
6 Li 0.750 0.349 0.698
7 Zn 0.750 0.153 0.305
8 Zn 0.250 0.847 0.695
9 Cu 0.500 0.250 0.000
10 Pt 0.750 0.751 0.502

Output
Energy relative to the elements ... -0.06 eV per atom
SG ... Cmcm, No. 63

---

Entry 8:
A relaxed structure of AlTl2ReC, computed with PBE.

Cell: 4.977 3.675 4.977 Å, 90.00 90.00 90.00°
Sites, in units of the cell vectors:
1 Tl 0.500 0.000 0.000
2 Re 0.500 0.500 0.500
3 Al 0.000 0.500 0.000
4 C 0.000 0.000 0.000
5 Tl 0.000 0.000 0.500

Output
Energy relative to the elements ... 1.44 eV per atom
SG ... P4/mmm, No. 123

---

Entry 9:
A relaxed structure of Na2TmRhO4, computed with PBE.

Cell: 3.277 5.376 5.874 Å, 109.03 90.00 90.00°
Sites, in units of the cell vectors:
1 Na 0.000 0.500 0.500
2 O 0.000 0.745 0.218
3 Rh 0.000 0.000 0.000
4 O 0.000 0.255 0.782
5 O 0.500 0.785 0.793
6 Na 0.500 0.000 0.500
7 O 0.500 0.215 0.207
8 Tm 0.500 0.500 0.000

Output
SG ... P2/m, No. 10
Formation energy from raw total energies ... -15.74 eV/f.u.

---

Entry 10:
A relaxed structure of LaCuO2, computed with PBE.

Cell: 3.855 3.855 6.104 Å, 71.59 71.59 60.00°
Sites, in units of the cell vectors:
1 Cu 0.000 0.000 0.000
2 O 0.893 0.893 0.320
3 O 0.107 0.107 0.680
4 La 0.500 0.500 0.500

Output
SG ... R-3m, No. 166
Formation energy from raw total energies ... -9.36 eV/f.u.

---

Entry 11:
A relaxed structure of Cs2TlSnO4, computed with PBE.

Cell: 6.426 6.426 6.426 Å, 92.04 118.83 118.83°
Sites, in units of the cell vectors:
1 O 0.917 0.519 0.160
2 Tl 0.500 0.250 0.750
3 Cs 0.000 0.000 0.000
4 Sn 0.000 0.500 0.500
5 Cs 0.500 0.750 0.250
6 O 0.641 0.398 0.481
7 O 0.359 0.840 0.757
8 O 0.083 0.243 0.602

Output
SG ... I-4, No. 82
Formation energy from raw total energies ... -10.12 eV/f.u.

---

Entry 12:
A relaxed structure of Nd3In4Ag2, computed with PBE.

Cell: 4.929 6.202 8.887 Å, 73.90 73.90 66.59°
Sites, in units of the cell vectors:
1 Ag 0.599 0.071 0.731
2 Ag 0.401 0.929 0.269
3 In 0.737 0.605 0.922
4 Nd 0.000 0.000 0.000
5 In 0.036 0.296 0.633
6 In 0.263 0.395 0.078
7 Nd 0.672 0.310 0.345
8 In 0.964 0.704 0.367
9 Nd 0.328 0.690 0.655

Output
Energy relative to the elements ... -0.45 eV per atom
SG ... C2/m, No. 12

---

Entry 13:
A relaxed structure of LaPuSe, computed with PBE.

Cell: 4.405 8.095 8.132 Å, 95.50 90.00 90.00°
Sites, in units of the cell vectors:
1 La 0.250 0.609 0.335
2 Pu 0.750 0.562 0.979
3 La 0.250 0.109 0.335
4 Se 0.750 0.846 0.266
5 Pu 0.250 0.938 0.021
6 Se 0.250 0.154 0.734
7 La 0.750 0.891 0.665
8 Pu 0.250 0.438 0.021
9 Se 0.250 0.654 0.734
10 La 0.750 0.391 0.665
11 Pu 0.750 0.062 0.979
12 Se 0.750 0.346 0.266

Output
SG ... P2_1/m, No. 11
Formation energy from raw total energies ... -2.51 eV/f.u.

---

Entry 14:
A relaxed structure of BaNbAl2As, computed with PBE.

Cell: 5.636 5.355 5.636 Å, 90.00 90.00 90.00°
Sites, in units of the cell vectors:
1 Ba 0.000 0.000 0.000
2 Al 0.500 0.000 0.000
3 As 0.500 0.500 0.500
4 Al 0.000 0.000 0.500
5 Nb 0.000 0.500 0.000

Output
Energy relative to the elements ... 2.10 eV per atom
SG ... P4/mmm, No. 123

---

Entry 15:
A relaxed structure of LiMoPt2, computed with PBE.

Cell: 2.723 2.723 8.262 Å, 90.00 90.00 89.97°
Sites, in units of the cell vectors:
1 Li 0.000 0.000 0.477
2 Pt 0.000 0.000 0.000
3 Pt 0.500 0.500 0.261
4 Mo 0.500 0.500 0.762

Output
Energy relative to the elements ... -0.08 eV per atom
SG ... P4mm, No. 99
E above lowest polymorph ... 8.35 kcal/mol of atoms

---

Entry 16:
A relaxed structure of DyY3Er2S6, computed with PBE.

Cell: 6.754 6.754 6.755 Å, 99.55 99.55 120.21°
Sites, in units of the cell vectors:
1 S 0.418 0.082 0.246
2 Dy 0.000 0.000 0.000
3 S 0.746 0.746 0.246
4 S 0.082 0.418 0.246
5 Er 0.334 0.666 0.000
6 Y 0.835 0.165 0.500
7 S 0.254 0.254 0.754
8 Y 0.165 0.835 0.500
9 Y 0.500 0.500 0.500
10 S 0.582 0.918 0.754
11 S 0.918 0.582 0.754
12 Er 0.666 0.334 0.000

Output
SG ... C2/m, No. 12
Formation energy from raw total energies ... -23.82 eV/f.u.

---

Entry 17:
A relaxed structure of Ag3Hg2Pd8, computed with PBE.

Cell: 2.843 9.196 10.632 Å, 123.40 90.00 90.00°
Sites, in units of the cell vectors:
1 Ag 0.000 0.759 0.047
2 Ag 0.000 0.241 0.953
3 Pd 0.000 0.126 0.269
4 Ag 0.500 0.000 0.000
5 Pd 0.000 0.589 0.192
6 Pd 0.500 0.912 0.334
7 Pd 0.000 0.411 0.808
8 Pd 0.500 0.355 0.230
9 Pd 0.500 0.645 0.770
10 Hg 0.500 0.294 0.537
11 Pd 0.500 0.088 0.666
12 Pd 0.000 0.874 0.731
13 Hg 0.500 0.706 0.463

Output
Energy relative to the elements ... 0.04 eV per atom
SG ... P2/m, No. 10
E above lowest polymorph ... 0.00 kcal/mol of atoms

---

Entry 18:
A relaxed structure of Zn2Cu2Mo, computed with PBE.

Cell: 7.231 7.231 2.600 Å, 90.00 90.00 90.00°
Sites, in units of the cell vectors:
1 Cu 0.830 0.330 0.500
2 Mo 0.000 0.000 0.000
3 Cu 0.330 0.170 0.500
4 Cu 0.170 0.670 0.500
5 Zn 0.129 0.371 0.000
6 Mo 0.500 0.500 0.000
7 Zn 0.371 0.871 0.000
8 Zn 0.871 0.629 0.000
9 Cu 0.670 0.830 0.500
10 Zn 0.629 0.129 0.000

Output
Energy relative to the elements ... 0.14 eV per atom
SG ... P4/mbm, No. 127
E above lowest polymorph ... 0.45 kcal/mol of atoms

---

Entry 19:
A relaxed structure of KPaIrO4, computed with PBE.

Cell: 5.624 7.615 6.836 Å, 116.67 90.00 111.67°
Sites, in units of the cell vectors:
1 K 0.188 0.376 0.938
2 O 0.752 0.054 0.777
3 Pa 0.500 0.000 0.000
4 Ir 0.000 0.500 0.500
5 K 0.812 0.624 0.062
6 O 0.684 0.367 0.618
7 O 0.248 0.946 0.223
8 O 0.301 0.054 0.777
9 O 0.316 0.633 0.751
10 Ir 0.500 0.500 0.500
11 Pa 0.500 0.000 0.500
12 O 0.316 0.633 0.382
13 O 0.699 0.946 0.223
14 O 0.684 0.367 0.249

Output
SG ... Imma, No. 74
Formation energy from raw total energies ... -14.71 eV/f.u.

---

Entry 20:
A relaxed structure of Zr4W, computed with PBE.

Cell: 7.883 7.883 7.883 Å, 151.14 151.14 41.27°
Sites, in units of the cell vectors:
1 W 0.000 0.000 0.000
2 Zr 0.750 0.250 0.500
3 Zr 0.250 0.750 0.500
4 Zr 0.412 0.412 0.000
5 Zr 0.588 0.588 0.000

Output
Energy relative to the elements ... 0.83 eV per atom
SG ... I4/mmm, No. 139
E above lowest polymorph ... 14.81 kcal/mol of atoms

---

no.,mass density (g/cm3),VASP energy (eV/atom)
1,18.09,-8.95
2,7.15,-2.96
3,2.96,-3.03
4,5.63,-3.12
5,3.27,-3.15
6,2.59,-3.16
7,9.16,-3.54
8,11.56,-4.59
9,6.48,-6.25
10,5.32,-7.08
11,5.68,-4.75
12,7.82,-3.89
13,10.63,-8.42
14,3.51,-2.73
15,13.37,-6.29
16,6.32,-6.81
17,11.28,-3.86
18,8.65,-4.17
19,7.34,-7.71
20,8.00,-8.60